(1)
# Hg2Sb2Se | the Alexandria database | GGA-PBE | optimized geometry
# Excess energy over the best structure of this formula in the dataset, eV/atom: 0.149
# Uncorrected formation energy, eV/atom: 0.27
data_Hg2Sb2Se
_chemical_formula_sum 'Hg4 Sb4 Se2'
_cell_length_a 4.178
_cell_length_b 4.178
_cell_length_c 16.115
_cell_angle_alpha 90.00
_cell_angle_beta 90.00
_cell_angle_gamma 90.00
_symmetry_space_group_name_H-M 'I 4/m m m'
_symmetry_Int_Tables_number 139
_symmetry_space_group_name_Hall '-I 4 2'
loop_
_atom_site_label
_atom_site_type_symbol
_atom_site_fract_x
_atom_site_fract_y
_atom_site_fract_z
_atom_site_occupancy
Hg1 Hg 0.000 0.000 0.088 1
Sb1 Sb 0.000 0.500 0.250 1
Se1 Se 0.000 0.000 0.500 1

(2)
# PmNdGdCd | the Alexandria database | GGA-PBE | optimized geometry
# E_form, eV/atom: -0.023
data_PmNdGdCd
_chemical_formula_sum 'Pm4 Nd4 Gd4 Cd4'
_cell_length_a 7.864
_cell_length_b 7.864
_cell_length_c 7.864
_cell_angle_alpha 90.00
_cell_angle_beta 90.00
_cell_angle_gamma 90.00
_symmetry_space_group_name_H-M 'F -4 3 m'
_symmetry_Int_Tables_number 216
_symmetry_space_group_name_Hall 'F -4 2 3'
loop_
_atom_site_label
_atom_site_type_symbol
_atom_site_fract_x
_atom_site_fract_y
_atom_site_fract_z
_atom_site_occupancy
Pm1 Pm 0.000 0.000 0.000 1
Nd1 Nd 0.250 0.250 0.750 1
Gd1 Gd 0.250 0.250 0.250 1
Cd1 Cd 0.000 0.000 0.500 1

(3)
# SrMnTlFe2 | the Alexandria database | GGA-PBE | optimized geometry
# E_form, eV/atom: 0.994
data_SrMnTlFe2
_chemical_formula_sum 'Sr1 Mn1 Tl1 Fe2'
_cell_length_a 4.509
_cell_length_b 4.509
_cell_length_c 5.518
_cell_angle_alpha 90.00
_cell_angle_beta 90.00
_cell_angle_gamma 90.00
_symmetry_space_group_name_H-M 'P 4/m m m'
_symmetry_Int_Tables_number 123
_symmetry_space_group_name_Hall '-P 4 2'
loop_
_atom_site_label
_atom_site_type_symbol
_atom_site_fract_x
_atom_site_fract_y
_atom_site_fract_z
_atom_site_occupancy
Sr1 Sr 0.000 0.000 0.000 1
Mn1 Mn 0.000 0.000 0.500 1
Tl1 Tl 0.500 0.500 0.000 1
Fe1 Fe 0.000 0.500 0.500 1

(4)
# KTaCd2 | the Alexandria database | GGA-PBE | optimized geometry
# Excess energy over the best structure of this formula in the dataset, eV/atom: 0.167
# E_form, eV/atom: 0.562
data_KTaCd2
_chemical_formula_sum 'K2 Ta2 Cd4'
_cell_length_a 3.568
_cell_length_b 4.722
_cell_length_c 11.295
_cell_angle_alpha 90.00
_cell_angle_beta 90.00
_cell_angle_gamma 90.00
_symmetry_space_group_name_H-M 'C m m 2'
_symmetry_Int_Tables_number 35
loop_
_symmetry_equiv_pos_as_xyz
'x,y,z'
'-x,-y,z'
'-x,y,z'
'x,-y,z'
'x+1/2,y+1/2,z'
'-x+1/2,-y+1/2,z'
'-x+1/2,y+1/2,z'
'x+1/2,-y+1/2,z'
loop_
_atom_site_label
_atom_site_type_symbol
_atom_site_fract_x
_atom_site_fract_y
_atom_site_fract_z
_atom_site_occupancy
K1 K 0.000 0.000 0.000 1
Ta1 Ta 0.000 0.500 0.716 1
Cd1 Cd 0.000 0.000 0.506 1
Cd2 Cd 0.000 0.500 0.271 1

(5)
# CaTa2VAg | the Alexandria database | GGA-PBE | optimized geometry
# E_form, eV/atom: 2.438
data_CaTa2VAg
_chemical_formula_sum 'Ca1 Ta2 V1 Ag1'
_cell_length_a 4.830
_cell_length_b 4.830
_cell_length_c 4.338
_cell_angle_alpha 90.00
_cell_angle_beta 90.00
_cell_angle_gamma 90.00
_symmetry_space_group_name_H-M 'P 4/m m m'
_symmetry_Int_Tables_number 123
_symmetry_space_group_name_Hall '-P 4 2'
loop_
_atom_site_label
_atom_site_type_symbol
_atom_site_fract_x
_atom_site_fract_y
_atom_site_fract_z
_atom_site_occupancy
Ca1 Ca 0.000 0.000 0.000 1
Ta1 Ta 0.000 0.500 0.000 1
V1 V 0.000 0.000 0.500 1
Ag1 Ag 0.500 0.500 0.500 1

(6)
# CuW3C | the Alexandria database | GGA-PBE | optimized geometry
# Excess energy over the best structure of this formula in the dataset, eV/atom: 0.000
# E_form, eV/atom: 0.421
data_CuW3C
_chemical_formula_sum 'Cu1 W3 C1'
_cell_length_a 4.125
_cell_length_b 4.125
_cell_length_c 4.125
_cell_angle_alpha 90.00
_cell_angle_beta 90.00
_cell_angle_gamma 90.00
_symmetry_space_group_name_H-M 'P m -3 m'
_symmetry_Int_Tables_number 221
_symmetry_space_group_name_Hall '-P 4 2 3'
loop_
_atom_site_label
_atom_site_type_symbol
_atom_site_fract_x
_atom_site_fract_y
_atom_site_fract_z
_atom_site_occupancy
Cu1 Cu 0.000 0.000 0.000 1
W1 W 0.000 0.500 0.500 1
C1 C 0.500 0.500 0.500 1

(7)
# Pm5SmBi4 | the Alexandria database | GGA-PBE | optimized geometry
# E_form, eV/atom: -0.415
data_Pm5SmBi4
_chemical_formula_sum 'Pm10 Sm2 Bi8'
_cell_length_a 9.681
_cell_length_b 10.359
_cell_length_c 7.743
_cell_angle_alpha 90.00
_cell_angle_beta 90.00
_cell_angle_gamma 90.00
_symmetry_space_group_name_H-M 'P m m n'
_symmetry_Int_Tables_number 59
loop_
_symmetry_equiv_pos_as_xyz
'x,y,z'
'-x,-y,-z'
'-x+1/2,-y+1/2,z'
'x+1/2,y+1/2,-z'
'x+1/2,-y,-z'
'-x+1/2,y,z'
'-x,y+1/2,-z'
'x,-y+1/2,z'
loop_
_atom_site_label
_atom_site_type_symbol
_atom_site_fract_x
_atom_site_fract_y
_atom_site_fract_z
_atom_site_occupancy
Pm1 Pm 0.042 0.053 0.249 1
Pm2 Pm 0.250 0.250 0.859 1
Sm1 Sm 0.250 0.750 0.231 1
Bi1 Bi 0.025 0.250 0.564 1
Bi2 Bi 0.250 0.545 0.938 1

(8)
# La3Al9Pd2 | the Alexandria database | GGA-PBE | optimized geometry
# E_form, eV/atom: -0.609
data_La3Al9Pd2
_chemical_formula_sum 'La6 Al18 Pd4'
_cell_length_a 4.458
_cell_length_b 9.952
_cell_length_c 12.918
_cell_angle_alpha 90.00
_cell_angle_beta 90.00
_cell_angle_gamma 90.00
_symmetry_space_group_name_H-M 'I m m m'
_symmetry_Int_Tables_number 71
_symmetry_space_group_name_Hall '-I 2 2'
loop_
_atom_site_label
_atom_site_type_symbol
_atom_site_fract_x
_atom_site_fract_y
_atom_site_fract_z
_atom_site_occupancy
La1 La 0.000 0.000 0.000 1
La2 La 0.000 0.000 0.305 1
Al1 Al 0.000 0.281 0.129 1
Al2 Al 0.000 0.363 0.341 1
Al3 Al 0.000 0.500 0.000 1
Pd1 Pd 0.000 0.204 0.500 1

Computed values of DOS(E_F) (unit: states/eV/cell) for the preceding records, in sequence: 5.7, 23.1, 7.0, 6.3, 7.1, 4.2, 24.6, 8.5.
Computed values of energy (unit: eV per atom) for the preceding records, in sequence: -2.19, -6.15, -5.03, -3.13, -5.10, -10.02, -4.81, -4.81.